# Ce2CoH8

A geometry-optimized Ce2CoH8 structure (PBE-GGA, the Alexandria database).

abc: 3.8179 4.5507 6.2738
angles: 111.27 107.71 90.00
Atoms (fractional coordinates):
H 0.0000 0.8005 0.0000
H 0.2246 0.2246 0.4492
H 0.3816 0.6588 0.7632
H 0.6183 0.8953 0.2366
H 0.7754 0.7754 0.5508
H 0.3817 0.1047 0.7634
H 0.0000 0.1995 0.0000
H 0.6184 0.3412 0.2368
Ce 0.8394 0.3394 0.6787
Ce 0.1606 0.6606 0.3213
Co 0.5000 0.0000 0.0000

Calculated values
Magnetization ... 2.9 μB per formula unit
Final energy ... -48.69 eV per formula unit
Space group ... Immm